HfMgScAg | PBE | optimized geometry

Summary:
As for the mass density: 6.99 Mg/m³. Its formation enthalpy at 0 K is -107 meV/atom.

a b c (Å): 3.161 3.161 8.450
angles (deg): 90.00 90.00 90.00
Positions (direct):
Hf  0.000  0.000  0.000
Mg  0.500  0.500  0.722
Sc  0.500  0.500  0.256
Ag  0.000  0.000  0.501